# 1
8
Lattice="-0.235 5.154 -1.380 -3.382 0.924 4.029 5.669 4.943 7.163" Properties=species:S:1:pos:R:3 comment="RbMn2Te (GGA-PBE, relaxed)" final_energy_ev_per_atom=-5.164 raw_formation_energy_mev_per_atom=448 density_kg_m3=3886 pbc="T T T"
Mn 0.789 5.861 1.087
Mn -0.902 6.323 3.102
Mn 3.740 5.756 5.359
Mn 3.623 8.332 4.669
Te 0.000 0.000 0.000
Te 1.812 6.568 3.554
Rb -1.808 3.039 1.325
Rb 0.239 4.453 6.259

# 2
20
Lattice="-2.212 -6.345 -2.208 -0.557 1.584 7.325 -6.246 2.533 -1.023" Properties=species:S:1:pos:R:3 comment="PmNbN3 (GGA-PBE, relaxed)" final_energy_ev_per_atom=-8.741 raw_formation_energy_mev_per_atom=-782 density_kg_m3=5815 pbc="T T T"
Pm -3.051 -0.791 5.320
Pm -5.964 -1.437 -1.226
Pm -4.856 1.734 -0.121
Pm -4.158 -3.962 4.216
Nb -5.663 -1.041 2.989
Nb -3.351 -1.187 1.105
Nb -3.066 -4.924 0.229
Nb -5.949 2.696 3.865
N -1.842 -4.739 -1.533
N -7.172 2.511 5.627
N -5.442 -1.811 4.988
N -3.572 -0.417 -0.894
N -5.908 0.735 3.788
N -3.106 -2.963 0.306
N -2.010 0.213 1.409
N -7.004 -2.441 2.686
N -1.471 0.969 4.349
N -7.544 -3.198 -0.255
N -5.249 -0.508 1.044
N -3.766 -1.720 3.050

# 3
12
Lattice="-2.607 -6.332 -4.409 -1.107 -1.710 3.110 -5.286 2.521 -0.496" Properties=species:S:1:pos:R:3 comment="ScAgC (GGA-PBE, relaxed)" final_energy_ev_per_atom=-6.081 formation_energy_ev_per_atom=0.054 density_kg_m3=6153 pbc="T T T"
Sc -4.660 -4.887 -3.235
Sc -7.259 -3.029 -0.916
Sc -4.339 -0.634 1.440
Sc -1.741 -2.492 -0.879
C -2.609 -0.436 -0.058
C -6.337 -1.322 0.350
C -6.391 -5.084 -1.737
C -2.663 -4.199 -2.145
Ag -7.311 -3.906 -3.639
Ag -4.429 -4.096 -0.495
Ag -1.689 -1.615 1.844
Ag -4.571 -1.425 -1.300